Density functional theory data (PBE) for a relaxed structure of CeDy2Y8.

a = 18.213 Å, b = 5.046 Å, c = 7.978 Å
α = 90.00°, β = 105.22°, γ = 90.00°
Space group C2/m (No. 12)
Inequivalent atoms, fractional coordinates:
1 Ce 0.000 0.000 0.000 (multiplicity 2)
2 Dy 0.228 0.500 0.636 (multiplicity 4)
3 Y 0.045 0.500 0.731 (multiplicity 4)
4 Y 0.091 0.000 0.454 (multiplicity 4)
5 Y 0.136 0.500 0.182 (multiplicity 4)
6 Y 0.181 0.000 0.908 (multiplicity 4)

Properties
Magnetization (μB per formula unit): 1.186
Formation energy from the elements (eV/atom): 0.04

***

Density functional theory data (PBE) for a relaxed structure of Ce2Dy5Y12.

a = 22.413 Å, b = 6.932 Å, c = 8.665 Å
α = 90.00°, β = 111.98°, γ = 90.00°
Space group C2/m (No. 12)
Inequivalent atoms, fractional coordinates:
1 Ce 0.000 0.195 0.000 (multiplicity 4)
2 Dy 0.000 0.500 0.500 (multiplicity 2)
3 Dy 0.153 0.000 0.090 (multiplicity 4)
4 Dy 0.248 0.500 0.490 (multiplicity 4)
5 Y 0.052 0.000 0.691 (multiplicity 4)
6 Y 0.105 0.242 0.375 (multiplicity 8)
7 Y 0.137 0.500 0.040 (multiplicity 4)
8 Y 0.203 0.246 0.789 (multiplicity 8)

Properties
Magnetization (μB per formula unit): 1.862
Formation energy from the elements (eV/atom): 0.16

***

Density functional theory data (PBE) for a relaxed structure of Ce2Dy5Y2.

a = 16.536 Å, b = 5.619 Å, c = 6.567 Å
α = 90.00°, β = 111.09°, γ = 90.00°
Space group C2/m (No. 12)
Inequivalent atoms, fractional coordinates:
1 Ce 0.077 0.000 0.486 (multiplicity 4)
2 Dy 0.000 0.000 0.000 (multiplicity 2)
3 Dy 0.180 0.500 0.355 (multiplicity 4)
4 Dy 0.207 0.000 0.055 (multiplicity 4)
5 Y 0.063 0.500 0.779 (multiplicity 4)

Properties
Magnetization (μB per formula unit): 0.000
Formation energy from the elements (eV/atom): 0.12

***

Density functional theory data (PBE) for a relaxed structure of CeDy2Y7.

a = 8.807 Å, b = 16.220 Å, c = 5.609 Å
α = 90.00°, β = 90.00°, γ = 90.00°
Space group Cmmm (No. 65)
Inequivalent atoms, fractional coordinates:
1 Ce 0.000 0.000 0.000 (multiplicity 2)
2 Dy 0.000 0.297 0.500 (multiplicity 4)
3 Y 0.000 0.215 0.000 (multiplicity 4)
4 Y 0.000 0.500 0.500 (multiplicity 2)
5 Y 0.177 0.115 0.500 (multiplicity 8)

Properties
Magnetization (μB per formula unit): 1.413
Formation energy from the elements (eV/atom): 0.73

***

Density functional theory data (PBE) for a relaxed structure of CeDy7Y12.

a = 11.336 Å, b = 11.336 Å, c = 11.336 Å
α = 90.00°, β = 90.00°, γ = 90.00°
Space group Im-3m (No. 229)
Inequivalent atoms, fractional coordinates:
1 Ce 0.000 0.000 0.000 (multiplicity 2)
2 Dy 0.000 0.000 0.500 (multiplicity 6)
3 Dy 0.250 0.250 0.250 (multiplicity 8)
4 Y 0.000 0.255 0.255 (multiplicity 24)

Properties
Magnetization (μB per formula unit): 1.418
Formation energy from the elements (eV/atom): 0.71

***

Density functional theory data (PBE) for a relaxed structure of CeDy5Y.

a = 11.280 Å, b = 6.468 Å, c = 12.580 Å
α = 90.00°, β = 97.00°, γ = 90.00°
Space group C2/c (No. 15)
Inequivalent atoms, fractional coordinates:
1 Ce 0.000 0.000 0.000 (multiplicity 4)
2 Dy 0.000 0.258 0.250 (multiplicity 4)
3 Dy 0.164 0.497 0.055 (multiplicity 8)
4 Dy 0.232 0.003 0.680 (multiplicity 8)
5 Y 0.000 0.264 0.750 (multiplicity 4)

Properties
Magnetization (μB per formula unit): 1.145
Formation energy from the elements (eV/atom): 0.22